# 1
Computed, not measured: YP7 at its PBEsol-relaxed geometry at the SCAN level of DFT.

Summary:
Symmetry: No. 225
DOS(E_F): 0.46 states/eV per atom
Volume: 124.5 Å³/cell
DFT formation energy: 37.9 kJ per mole of atoms

a b c (Å): 5.6053 5.6053 5.6053
angles (deg): 60.00 60.00 60.00
Atoms (fractional coordinates):
Y  0.0000  0.0000  0.0000
P  0.5000  0.0000  0.0000
P  0.0000  0.0000  0.5000
P  0.5000  0.0000  0.5000
P  0.5000  0.5000  0.5000
P  0.0000  0.5000  0.5000
P  0.5000  0.5000  0.0000
P  0.0000  0.5000  0.0000



# 2
Computed, not measured: SiS2 at its PBEsol-relaxed geometry at the SCAN level of DFT.

Summary:
Symmetry: No. 72
DOS(E_F): 0.00 states/eV per atom
Energy relative to the elements, uncorrected: -17.47 kcal/mol of atoms
Volume: 151.2 Å³/cell

a b c (Å): 5.5365 5.8016 6.1825
angles (deg): 117.98 116.60 90.00
Atoms (fractional coordinates):
S  0.6203  0.3224  0.2406
S  0.1203  0.9182  0.2406
S  0.8797  0.0818  0.7594
Si  0.7500  0.0000  0.0000
Si  0.2500  0.0000  0.0000
S  0.3797  0.6776  0.7594



# 3
Computed, not measured: Y2MnZn at its PBEsol-relaxed geometry at the SCAN level of DFT.

Summary:
Symmetry: No. 216
DOS(E_F): 1.15 states/eV per atom
Volume: 79.5 Å³/cell
DFT formation energy: 1.1 kJ per mole of atoms

a b c (Å): 4.8268 4.8268 4.8268
angles (deg): 60.00 60.00 60.00
Last column: magnetic moment on the atom in μB.
Atoms (fractional coordinates):
Y  0.0000  0.0000  0.0000  -0.47
Mn  0.5000  0.5000  0.5000  3.76
Y  0.7500  0.7500  0.7500  -0.39
Zn  0.2500  0.2500  0.2500  -0.03



# 4
Computed, not measured: AlAsAu3 at its PBEsol-relaxed geometry at the SCAN level of DFT.

Summary:
Symmetry: No. 221
DOS(E_F): 0.46 states/eV per atom
Volume: 105.2 Å³/cell
DFT formation energy: 48.5 kJ per mole of atoms

a b c (Å): 4.7203 4.7203 4.7203
angles (deg): 90.00 90.00 90.00
Atoms (fractional coordinates):
Au  0.0000  0.5000  0.0000
Au  0.5000  0.0000  0.0000
Al  0.0000  0.0000  0.0000
Au  0.0000  0.0000  0.5000
As  0.5000  0.5000  0.5000



# 5
Computed, not measured: ReIr2Cl at its PBEsol-relaxed geometry at the SCAN level of DFT.

Summary:
Symmetry: No. 71
DOS(E_F): 0.95 states/eV per atom
Energy relative to the elements, uncorrected: 17.10 kcal/mol of atoms
Volume: 61.3 Å³/cell

a b c (Å): 2.6981 4.4150 5.7591
angles (deg): 112.54 103.55 90.00
Atoms (fractional coordinates):
Ir  0.2215  0.2215  0.4429
Cl  0.0000  0.5000  0.0000
Ir  0.7785  0.7785  0.5571
Re  0.5000  0.0000  0.0000



# 6
Computed, not measured: In2SbRh at its PBEsol-relaxed geometry at the SCAN level of DFT.

Summary:
Symmetry: No. 8
DOS(E_F): 0.30 states/eV per atom
Energy relative to the elements, uncorrected: -5.74 kcal/mol of atoms
Volume: 90.1 Å³/cell

a b c (Å): 3.1084 5.0957 6.4940
angles (deg): 111.96 90.00 107.76
Atoms (fractional coordinates):
In  0.9829  0.9657  0.0093
In  0.8099  0.6199  0.3682
Sb  0.1662  0.3325  0.7393
Rh  0.5410  0.0819  0.3832